No. 1
An optimized crystal structure of LiNp2InTe4, computed with PBE.

Cell and atoms, written as CIF:
```
data_LiNp2InTe4
_symmetry_space_group_name_H-M 'P 1'
_symmetry_Int_Tables_number 1
_cell_length_a 7.7175
_cell_length_b 7.7175
_cell_length_c 15.7357
_cell_angle_alpha 90.00
_cell_angle_beta 90.00
_cell_angle_gamma 146.34
loop_
_symmetry_equiv_pos_as_xyz
'x,y,z'
loop_
_atom_site_label
_atom_site_type_symbol
_atom_site_fract_x
_atom_site_fract_y
_atom_site_fract_z
_atom_site_occupancy
Li1 Li 0.1631 0.8369 0.7500 1
Li2 Li 0.8369 0.1631 0.2500 1
Np1 Np 0.3670 0.6330 0.0631 1
Np2 Np 0.3670 0.6330 0.4369 1
Np3 Np 0.6330 0.3670 0.5631 1
Np4 Np 0.6330 0.3670 0.9369 1
In1 In 0.1129 0.8871 0.2500 1
In2 In 0.8871 0.1129 0.7500 1
Te1 Te 0.0000 0.0000 0.0000 1
Te2 Te 0.0000 0.0000 0.5000 1
Te3 Te 0.2710 0.7290 0.6114 1
Te4 Te 0.2710 0.7290 0.8886 1
Te5 Te 0.4403 0.5597 0.2500 1
Te6 Te 0.5597 0.4403 0.7500 1
Te7 Te 0.7290 0.2710 0.1114 1
Te8 Te 0.7290 0.2710 0.3886 1
```

## Properties
formation energy from raw total energies = -0.606 eV per atom
total magnetization = 16.00 μB per cell
space group = No. 63
mass density = 7.07 g cm⁻³
calculated total energy = -47.9 eV per formula unit

***

No. 2
An optimized crystal structure of LiInO, computed with PBE.

Cell and atoms, written as CIF:
```
data_LiInO
_symmetry_space_group_name_H-M 'P 1'
_symmetry_Int_Tables_number 1
_cell_length_a 3.2853
_cell_length_b 3.5504
_cell_length_c 7.9557
_cell_angle_alpha 90.00
_cell_angle_beta 90.00
_cell_angle_gamma 90.00
loop_
_symmetry_equiv_pos_as_xyz
'x,y,z'
loop_
_atom_site_label
_atom_site_type_symbol
_atom_site_fract_x
_atom_site_fract_y
_atom_site_fract_z
_atom_site_occupancy
Li1 Li 0.2500 0.2500 0.0327 1
Li2 Li 0.7500 0.7500 0.9673 1
In1 In 0.2500 0.2500 0.6675 1
In2 In 0.7500 0.7500 0.3325 1
O1 O 0.2500 0.7500 0.1290 1
O2 O 0.7500 0.2500 0.8710 1
```

## Properties
formation energy from raw total energies = -1.276 eV per atom
total magnetization = 0.00 μB per cell
space group = No. 59
mass density = 4.93 g cm⁻³
calculated total energy = -13.4 eV per formula unit

***

No. 3
An optimized crystal structure of Li3InO3, computed with PBE.

Cell and atoms, written as CIF:
```
data_Li3InO3
_symmetry_space_group_name_H-M 'P 1'
_symmetry_Int_Tables_number 1
_cell_length_a 8.1307
_cell_length_b 8.1307
_cell_length_c 3.0010
_cell_angle_alpha 90.00
_cell_angle_beta 90.00
_cell_angle_gamma 120.00
loop_
_symmetry_equiv_pos_as_xyz
'x,y,z'
loop_
_atom_site_label
_atom_site_type_symbol
_atom_site_fract_x
_atom_site_fract_y
_atom_site_fract_z
_atom_site_occupancy
Li1 Li 0.0224 0.3539 0.2500 1
Li2 Li 0.3314 0.9776 0.2500 1
Li3 Li 0.3539 0.3314 0.7500 1
Li4 Li 0.6461 0.6686 0.2500 1
Li5 Li 0.6686 0.0224 0.7500 1
Li6 Li 0.9776 0.6461 0.7500 1
In1 In 0.3333 0.6667 0.7500 1
In2 In 0.6667 0.3333 0.2500 1
O1 O 0.1499 0.7050 0.2500 1
O2 O 0.2950 0.4449 0.2500 1
O3 O 0.4449 0.1499 0.7500 1
O4 O 0.5551 0.8501 0.2500 1
O5 O 0.7050 0.5551 0.7500 1
O6 O 0.8501 0.2950 0.7500 1
```

## Properties
formation energy from raw total energies = -1.697 eV per atom
total magnetization = 0.00 μB per cell
space group = No. 176
mass density = 3.55 g cm⁻³
calculated total energy = -35.2 eV per formula unit

***

No. 4
An optimized crystal structure of LiInO, computed with PBE.

Cell and atoms, written as CIF:
```
data_LiInO
_symmetry_space_group_name_H-M 'P 1'
_symmetry_Int_Tables_number 1
_cell_length_a 5.1511
_cell_length_b 3.1312
_cell_length_c 5.4839
_cell_angle_alpha 90.00
_cell_angle_beta 95.73
_cell_angle_gamma 90.00
loop_
_symmetry_equiv_pos_as_xyz
'x,y,z'
loop_
_atom_site_label
_atom_site_type_symbol
_atom_site_fract_x
_atom_site_fract_y
_atom_site_fract_z
_atom_site_occupancy
Li1 Li 0.1651 0.0000 0.1851 1
Li2 Li 0.8349 0.0000 0.8149 1
In1 In 0.2921 0.5000 0.7107 1
In2 In 0.7079 0.5000 0.2893 1
O1 O 0.0000 0.0000 0.5000 1
O2 O 0.0000 0.5000 0.0000 1
```

## Properties
formation energy from raw total energies = -1.259 eV per atom
total magnetization = 0.00 μB per cell
space group = No. 10
mass density = 5.20 g cm⁻³
calculated total energy = -13.4 eV per formula unit

***

No. 5
An optimized crystal structure of LiIn3O, computed with PBE.

Cell and atoms, written as CIF:
```
data_LiIn3O
_symmetry_space_group_name_H-M 'P 1'
_symmetry_Int_Tables_number 1
_cell_length_a 4.8712
_cell_length_b 4.8712
_cell_length_c 4.8712
_cell_angle_alpha 90.00
_cell_angle_beta 90.00
_cell_angle_gamma 90.00
loop_
_symmetry_equiv_pos_as_xyz
'x,y,z'
loop_
_atom_site_label
_atom_site_type_symbol
_atom_site_fract_x
_atom_site_fract_y
_atom_site_fract_z
_atom_site_occupancy
Li1 Li 0.0000 0.0000 0.0000 1
In1 In 0.0000 0.5000 0.5000 1
In2 In 0.5000 0.0000 0.5000 1
In3 In 0.5000 0.5000 0.0000 1
O1 O 0.5000 0.5000 0.5000 1
```

## Properties
formation energy from raw total energies = -0.240 eV per atom
total magnetization = 0.00 μB per cell
space group = No. 221
mass density = 5.28 g cm⁻³
calculated total energy = -16.3 eV per formula unit

***

No. 6
An optimized crystal structure of Li4InO3, computed with PBE.

Cell and atoms, written as CIF:
```
data_Li4InO3
_symmetry_space_group_name_H-M 'P 1'
_symmetry_Int_Tables_number 1
_cell_length_a 5.9547
_cell_length_b 5.9547
_cell_length_c 7.0102
_cell_angle_alpha 107.99
_cell_angle_beta 107.99
_cell_angle_gamma 51.79
loop_
_symmetry_equiv_pos_as_xyz
'x,y,z'
loop_
_atom_site_label
_atom_site_type_symbol
_atom_site_fract_x
_atom_site_fract_y
_atom_site_fract_z
_atom_site_occupancy
Li1 Li 0.0441 0.6130 0.0984 1
Li2 Li 0.1017 0.4162 0.3970 1
Li3 Li 0.1526 0.8474 0.5000 1
Li4 Li 0.2382 0.5656 0.7889 1
Li5 Li 0.4162 0.1017 0.8970 1
Li6 Li 0.5656 0.2382 0.2889 1
Li7 Li 0.6130 0.0441 0.5984 1
Li8 Li 0.8474 0.1526 0.0000 1
In1 In 0.4624 0.8005 0.2254 1
In2 In 0.8005 0.4624 0.7254 1
O1 O 0.1667 0.1907 0.0930 1
O2 O 0.1907 0.1667 0.5930 1
O3 O 0.4340 0.4572 0.5573 1
O4 O 0.4572 0.4340 0.0573 1
O5 O 0.8288 0.8326 0.8348 1
O6 O 0.8326 0.8288 0.3348 1
```

## Properties
formation energy from raw total energies = -1.549 eV per atom
total magnetization = 0.00 μB per cell
space group = No. 9
mass density = 3.45 g cm⁻³
calculated total energy = -37.7 eV per formula unit

***

No. 7
An optimized crystal structure of Li3InO3, computed with PBE.

Cell and atoms, written as CIF:
```
data_Li3InO3
_symmetry_space_group_name_H-M 'P 1'
_symmetry_Int_Tables_number 1
_cell_length_a 6.1724
_cell_length_b 6.1724
_cell_length_c 6.1724
_cell_angle_alpha 55.06
_cell_angle_beta 55.06
_cell_angle_gamma 55.06
loop_
_symmetry_equiv_pos_as_xyz
'x,y,z'
loop_
_atom_site_label
_atom_site_type_symbol
_atom_site_fract_x
_atom_site_fract_y
_atom_site_fract_z
_atom_site_occupancy
Li1 Li 0.1369 0.3983 0.8239 1
Li2 Li 0.1761 0.8631 0.6017 1
Li3 Li 0.3983 0.8239 0.1369 1
Li4 Li 0.6017 0.1761 0.8631 1
Li5 Li 0.8239 0.1369 0.3983 1
Li6 Li 0.8631 0.6017 0.1761 1
In1 In 0.3325 0.3325 0.3325 1
In2 In 0.6675 0.6675 0.6675 1
O1 O 0.0789 0.7155 0.4608 1
O2 O 0.2845 0.5392 0.9211 1
O3 O 0.4608 0.0789 0.7155 1
O4 O 0.5392 0.9211 0.2845 1
O5 O 0.7155 0.4608 0.0789 1
O6 O 0.9211 0.2845 0.5392 1
```

## Properties
formation energy from raw total energies = -1.753 eV per atom
total magnetization = 0.00 μB per cell
space group = No. 148
mass density = 4.14 g cm⁻³
calculated total energy = -35.6 eV per formula unit

***

No. 8
An optimized crystal structure of Li3InO3, computed with PBE.

Cell and atoms, written as CIF:
```
data_Li3InO3
_symmetry_space_group_name_H-M 'P 1'
_symmetry_Int_Tables_number 1
_cell_length_a 5.7075
_cell_length_b 5.7075
_cell_length_c 10.4325
_cell_angle_alpha 90.00
_cell_angle_beta 90.00
_cell_angle_gamma 120.00
loop_
_symmetry_equiv_pos_as_xyz
'x,y,z'
loop_
_atom_site_label
_atom_site_type_symbol
_atom_site_fract_x
_atom_site_fract_y
_atom_site_fract_z
_atom_site_occupancy
Li1 Li 0.0539 0.3711 0.0706 1
Li2 Li 0.0539 0.6829 0.4294 1
Li3 Li 0.3171 0.3711 0.4294 1
Li4 Li 0.3171 0.9461 0.0706 1
Li5 Li 0.3711 0.0539 0.5706 1
Li6 Li 0.3711 0.3171 0.9294 1
Li7 Li 0.6289 0.6829 0.0706 1
Li8 Li 0.6289 0.9461 0.4294 1
Li9 Li 0.6829 0.0539 0.9294 1
Li10 Li 0.6829 0.6289 0.5706 1
Li11 Li 0.9461 0.3171 0.5706 1
Li12 Li 0.9461 0.6289 0.9294 1
In1 In 0.0000 0.0000 0.2500 1
In2 In 0.0000 0.0000 0.7500 1
In3 In 0.3333 0.6667 0.7500 1
In4 In 0.6667 0.3333 0.2500 1
O1 O 0.0414 0.3381 0.8775 1
O2 O 0.0414 0.7033 0.6225 1
O3 O 0.2967 0.3381 0.6225 1
O4 O 0.2967 0.9586 0.8775 1
O5 O 0.3381 0.0414 0.3775 1
O6 O 0.3381 0.2967 0.1225 1
O7 O 0.6619 0.7033 0.8775 1
O8 O 0.6619 0.9586 0.6225 1
O9 O 0.7033 0.0414 0.1225 1
O10 O 0.7033 0.6619 0.3775 1
O11 O 0.9586 0.2967 0.3775 1
O12 O 0.9586 0.6619 0.1225 1
```

## Properties
formation energy from raw total energies = -1.752 eV per atom
total magnetization = 0.00 μB per cell
space group = No. 163
mass density = 4.14 g cm⁻³
calculated total energy = -35.6 eV per formula unit